No. 1
DFT (GGA-PBE) results for crystalline La2Nd2Mg at its relaxed geometry.

Values from the calculation:
uncorrected energy: -4.052 eV/atom
crystal system: tetragonal
volume: 341.3 Å³ per cell

Lattice parameters (Å, degrees): 9.0777 9.0777 4.1421 90.00 90.00 90.00
Sites, in units of the cell vectors:
1 La 0.1636 0.6636 0.5000
2 La 0.6636 0.8364 0.5000
3 La 0.3364 0.1636 0.5000
4 La 0.8364 0.3364 0.5000
5 Nd 0.1434 0.3566 0.0000
6 Nd 0.8566 0.6434 0.0000
7 Nd 0.6434 0.1434 0.0000
8 Nd 0.3566 0.8566 0.0000
9 Mg 0.5000 0.5000 0.0000
10 Mg 0.0000 0.0000 0.0000

No. 2
DFT (GGA-PBE) results for crystalline La2NdMg3Pt3 at its relaxed geometry.

Values from the calculation:
uncorrected energy: -5.075 eV/atom
crystal system: orthorhombic
volume: 208.1 Å³ per cell

Lattice parameters (Å, degrees): 4.1662 7.6162 7.6162 120.57 90.00 90.00
Sites, in units of the cell vectors:
1 Mg 0.5000 0.7626 0.9978
2 Mg 0.5000 0.2406 0.2406
3 Mg 0.5000 0.9978 0.7626
4 La 0.0000 0.4159 0.0002
5 La 0.0000 0.0002 0.4159
6 Pt 0.5000 0.6656 0.3313
7 Pt 0.5000 0.3313 0.6656
8 Pt 0.0000 0.9976 0.9976
9 Nd 0.0000 0.5885 0.5885

No. 3
DFT (GGA-PBE) results for crystalline La2NdMg4Si4 at its relaxed geometry.

Values from the calculation:
uncorrected energy: -4.330 eV/atom
crystal system: orthorhombic
volume: 254.0 Å³ per cell

Lattice parameters (Å, degrees): 13.6787 13.6787 13.6787 161.94 161.32 26.09
Sites, in units of the cell vectors:
1 Mg 0.0921 0.5921 0.5000
2 Mg 0.2505 0.2505 0.0000
3 Mg 0.7495 0.7495 0.0000
4 Mg 0.9079 0.4079 0.5000
5 Si 0.5441 0.5441 0.0000
6 Si 0.1885 0.6885 0.5000
7 Si 0.4559 0.4559 0.0000
8 Si 0.8115 0.3115 0.5000
9 Nd 0.0000 0.0000 0.0000
10 La 0.6412 0.1412 0.5000
11 La 0.3588 0.8588 0.5000

Which value of volume does entry 2 give? 208.1 Å³ per cell